Computed, not measured: a relaxed structure of HRuN at the PBE-GGA level of DFT.

Calculated values
Symmetry: No. 107
Total magnetic moment: 0.000 μB/f.u.
Excess energy over the best structure of this formula in the dataset: 1.362 eV/f.u.
N(E_F): 0.87 states/eV/f.u.
DFT total energy: -18.76 eV/cell

a b c (Å): 2.794 2.794 3.768
angles (deg): 111.76 111.76 90.00
Positions (direct):
N1 0.960 0.960 0.920
H1 0.322 0.322 0.644
Ru1 0.568 0.568 0.136